Entry 1:
DFT (PBE) results for a relaxed structure of YRuW2.

The structure in POSCAR format:
```
YRuW2
1.0
9.800 -0.032 -0.019
9.372 2.862 -0.019
9.372 1.384 2.506
Ru W Y
1 2 1
Direct
0.750 0.750 0.750
0.010 0.010 0.010
0.490 0.490 0.490
0.250 0.250 0.250
```

## Properties
energy = -9.841 eV per atom
calculated formation energy = 55.0 kJ per mole of atoms

---

Entry 2:
DFT (PBE) results for a relaxed structure of NpCdPt2.

The structure in POSCAR format:
```
NpCdPt2
1.0
4.779 0.001 0.000
2.388 4.140 0.001
2.390 1.382 3.903
Np Pt Cd
1 2 1
Direct
0.250 0.250 0.250
0.000 0.000 0.000
0.500 0.500 0.500
0.750 0.750 0.750
```

## Properties
energy = -6.739 eV per atom
calculated formation energy = -24.5 kJ per mole of atoms

---

Entry 3:
DFT (PBE) results for a relaxed structure of RbAgH2.

The structure in POSCAR format:
```
RbAgH2
1.0
1.124 2.197 4.012
-2.879 -0.268 3.718
1.265 -2.505 3.783
H Rb Ag
2 1 1
Direct
0.250 0.250 0.250
0.750 0.750 0.750
0.000 0.000 0.000
0.500 0.500 0.500
```

## Properties
energy = -1.997 eV per atom

---

Entry 4:
DFT (PBE) results for a relaxed structure of CoSb2Pt2.

The structure in POSCAR format:
```
CoSb2Pt2
1.0
-2.914 -2.362 -0.489
1.638 -1.375 -3.120
2.715 -6.824 2.140
Sb Co Pt
2 1 2
Direct
0.391 0.391 0.217
0.609 0.609 0.783
0.000 0.000 0.000
0.750 0.250 0.500
0.250 0.750 0.500
```

## Properties
energy = -5.235 eV per atom
formation energy without anion corrections = 5.80 kcal/mol of atoms

---

Entry 5:
DFT (PBE) results for a relaxed structure of Tb9PrHo2.

The structure in POSCAR format:
```
Tb9PrHo2
1.0
3.521 0.000 0.000
0.000 11.279 0.000
0.000 -5.639 9.768
Tb Pr Ho
9 1 2
Direct
0.000 0.000 0.500
0.000 0.500 0.500
0.000 0.500 0.000
0.500 0.356 0.178
0.500 0.178 0.822
0.500 0.178 0.356
0.500 0.822 0.644
0.500 0.822 0.178
0.500 0.644 0.822
0.000 0.000 0.000
0.000 0.333 0.667
0.000 0.667 0.333
```

## Properties
energy = -4.598 eV per atom
calculated formation energy = 3.4 kJ per mole of atoms

---

Entry 6:
DFT (PBE) results for a relaxed structure of ScH3Se.

The structure in POSCAR format:
```
ScH3Se
1.0
3.800 0.000 0.000
0.000 3.800 0.000
0.000 0.000 3.800
Sc H Se
1 3 1
Direct
0.500 0.500 0.500
0.000 0.500 0.000
0.000 0.000 0.500
0.500 0.000 0.000
0.000 0.000 0.000
```

## Properties
energy = -3.454 eV per atom

---

Entry 7:
DFT (PBE) results for a relaxed structure of Pu3Ga2Ge4.

The structure in POSCAR format:
```
Pu3Ga2Ge4
1.0
-0.483 -3.716 -2.238
4.894 2.854 -1.539
0.662 -4.565 7.436
Pu Ga Ge
3 2 4
Direct
0.629 0.258 0.680
0.000 0.000 0.000
0.371 0.742 0.320
0.663 0.327 0.314
0.337 0.673 0.686
0.713 0.425 0.052
0.287 0.575 0.948
0.912 0.824 0.599
0.088 0.176 0.401
```

## Properties
energy = -7.864 eV per atom
calculated formation energy = -34.9 kJ per mole of atoms

---

Entry 8:
DFT (PBE) results for a relaxed structure of Hf2GaSe.

The structure in POSCAR format:
```
Hf2GaSe
1.0
3.726 0.000 0.000
1.863 3.227 0.000
1.863 1.076 6.731
Hf Ga Se
2 1 1
Direct
0.077 0.077 0.768
0.256 0.256 0.233
0.668 0.668 0.995
0.499 0.499 0.503
```

## Properties
energy = -7.202 eV per atom
formation energy without anion corrections = -13.77 kcal/mol of atoms

---

Entry 9:
DFT (PBE) results for a relaxed structure of BeAl2Tl.

The structure in POSCAR format:
```
BeAl2Tl
1.0
4.553 0.000 0.013
3.470 2.947 0.013
1.992 0.732 5.676
Be Tl Al
1 1 2
Direct
0.513 0.513 0.626
0.200 0.200 0.246
0.002 0.002 0.948
0.784 0.784 0.680
```

## Properties
energy = -3.029 eV per atom
calculated formation energy = 35.2 kJ per mole of atoms

---

Entry 10:
DFT (PBE) results for a relaxed structure of AlPCl2.

The structure in POSCAR format:
```
AlPCl2
1.0
3.206 0.000 0.000
0.000 5.486 0.000
0.000 0.000 4.246
P Al Cl
1 1 2
Direct
0.500 0.000 0.500
0.000 0.500 0.500
0.000 0.000 0.000
0.500 0.500 0.000
```

## Properties
energy = -3.087 eV per atom
formation energy without anion corrections = 2.87 kcal/mol of atoms

---

Entry 11:
DFT (PBE) results for a relaxed structure of Tm3Tl4BiSe8.

The structure in POSCAR format:
```
Tm3Tl4BiSe8
1.0
-1.278 -5.571 6.110
7.993 -3.967 -1.945
0.107 8.180 1.753
Tm Tl Bi Se
3 4 1 8
Direct
0.500 0.500 0.000
0.500 0.500 0.500
0.000 0.500 0.500
0.500 0.000 0.000
0.500 0.000 0.500
0.000 0.000 0.000
0.000 0.000 0.500
0.000 0.500 0.000
0.240 0.705 0.965
0.240 0.705 0.480
0.266 0.300 0.533
0.725 0.705 0.965
0.275 0.295 0.035
0.734 0.700 0.467
0.760 0.295 0.520
0.760 0.295 0.035
```

## Properties
energy = -4.556 eV per atom
formation energy without anion corrections = -26.31 kcal/mol of atoms

---

Entry 12:
DFT (PBE) results for a relaxed structure of Th4TcNi.

The structure in POSCAR format:
```
Th4TcNi
1.0
-0.930 4.013 -4.554
-6.895 -1.502 0.085
-1.059 5.126 4.733
Th Tc Ni
8 2 2
Direct
0.000 0.167 0.672
0.000 0.833 0.328
0.000 0.328 0.167
0.000 0.672 0.833
0.500 0.833 0.672
0.500 0.167 0.328
0.500 0.672 0.167
0.500 0.328 0.833
0.250 0.000 0.000
0.750 0.000 0.000
0.250 0.500 0.500
0.750 0.500 0.500
```

## Properties
energy = -7.826 eV per atom
calculated formation energy = -18.2 kJ per mole of atoms

---

Entry 13:
DFT (PBE) results for a relaxed structure of AsP2Rh.

The structure in POSCAR format:
```
AsP2Rh
1.0
-0.224 -3.037 -0.550
3.023 -0.327 0.575
-1.381 -1.098 6.633
As P Rh
1 2 1
Direct
0.500 0.500 0.688
0.000 0.000 0.101
0.500 0.500 0.239
0.000 0.000 0.473
```

## Properties
energy = -5.631 eV per atom
calculated formation energy = 7.2 kJ per mole of atoms

---

Entry 14:
DFT (PBE) results for a relaxed structure of MnNiMo2.

The structure in POSCAR format:
```
MnNiMo2
1.0
6.636 0.000 0.000
0.000 6.636 0.000
3.318 3.318 2.607
Ni Mo Mn
2 4 2
Direct
0.000 0.000 0.000
0.750 0.250 0.500
0.609 0.125 0.250
0.141 0.625 0.250
0.375 0.391 0.750
0.875 0.859 0.750
0.500 0.500 0.000
0.250 0.750 0.500
```

## Properties
energy = -8.564 eV per atom
calculated formation energy = 56.9 kJ per mole of atoms

---

Entry 15:
DFT (PBE) results for a relaxed structure of NaTl2Pt2.

The structure in POSCAR format:
```
NaTl2Pt2
1.0
3.902 0.000 0.000
0.000 3.902 0.000
1.951 1.951 8.139
Na Tl Pt
1 2 2
Direct
0.000 0.000 0.000
0.377 0.377 0.246
0.623 0.623 0.754
0.750 0.250 0.500
0.250 0.750 0.500
```

## Properties
energy = -3.718 eV per atom
calculated formation energy = -8.8 kJ per mole of atoms

---

Entry 16:
DFT (PBE) results for a relaxed structure of Sb2SeS.

The structure in POSCAR format:
```
Sb2SeS
1.0
5.608 0.000 0.000
0.000 11.207 0.000
0.000 0.000 9.306
Sb Se S
8 4 4
Direct
0.439 0.485 0.792
0.939 0.515 0.208
0.939 0.015 0.292
0.439 0.985 0.708
0.242 0.722 0.194
0.242 0.222 0.306
0.742 0.778 0.694
0.742 0.278 0.806
0.062 0.137 0.063
0.562 0.863 0.937
0.562 0.363 0.563
0.062 0.637 0.437
0.010 0.453 0.854
0.510 0.047 0.354
0.510 0.547 0.146
0.010 0.953 0.646
```

## Properties
energy = -3.988 eV per atom
formation energy without anion corrections = -0.55 kcal/mol of atoms

---

Entry 17:
DFT (PBE) results for a relaxed structure of La6TlZn5.

The structure in POSCAR format:
```
La6TlZn5
1.0
5.148 0.019 -1.508
-1.047 6.707 -3.493
-0.095 0.479 9.291
Tl Zn La
1 5 6
Direct
0.000 0.000 0.000
0.663 0.164 0.327
0.332 0.332 0.663
0.000 0.500 0.000
0.668 0.668 0.337
0.337 0.836 0.673
0.829 0.571 0.657
0.829 0.086 0.657
0.500 0.735 0.000
0.500 0.265 0.000
0.171 0.914 0.343
0.171 0.429 0.343
```

## Properties
energy = -3.518 eV per atom
calculated formation energy = -31.4 kJ per mole of atoms

---

Entry 18:
DFT (PBE) results for a relaxed structure of Mn2NbWSe.

The structure in POSCAR format:
```
Mn2NbWSe
1.0
-4.019 -0.293 1.238
1.356 -2.338 3.849
0.376 3.646 2.083
Nb Mn Se W
1 2 1 1
Direct
0.000 0.500 0.000
0.000 0.000 0.500
0.500 0.000 0.000
0.000 0.000 0.000
0.500 0.500 0.500
```

## Properties
energy = -7.882 eV per atom
formation energy without anion corrections = 25.08 kcal/mol of atoms

---

Entry 19:
DFT (PBE) results for a relaxed structure of Na5CdHg4.

The structure in POSCAR format:
```
Na5CdHg4
1.0
-1.708 3.298 0.883
-2.092 -1.791 2.643
12.672 3.283 12.255
Na Cd Hg
5 1 4
Direct
0.500 0.500 0.102
0.500 0.500 0.300
0.500 0.500 0.500
0.500 0.500 0.700
0.500 0.500 0.898
0.000 0.000 0.000
0.000 0.000 0.199
0.000 0.000 0.400
0.000 0.000 0.600
0.000 0.000 0.801
```

## Properties
energy = -1.084 eV per atom
calculated formation energy = -20.5 kJ per mole of atoms

---

Entry 20:
DFT (PBE) results for a relaxed structure of LaTbS.

The structure in POSCAR format:
```
LaTbS
1.0
-2.335 -4.517 -4.246
2.778 0.989 -2.580
0.683 -2.824 2.629
S Tb La
1 1 1
Direct
0.012 0.000 0.000
0.250 0.333 0.667
0.739 0.667 0.333
```

## Properties
energy = -5.826 eV per atom
formation energy without anion corrections = -29.15 kcal/mol of atoms